Material: Pa2Ga3Pd8
Method: DFT, PBE-GGA
State: optimized geometry

Calculated values
Its density of states at the Fermi level is 7.8 states/eV/cell. As for the formation energy: -656 kJ/mol of formula units. The symmetry is C2/m, No. 12. Its final energy is -76.419 eV for the cell shown.

a b c (Å): 6.504 6.504 7.497
angles (deg): 116.95 116.95 62.17
Fractional coordinates of all 13 atoms:
Pa  0.169  0.169  0.286
Pa  0.831  0.831  0.714
Ga  0.193  0.807  0.500
Ga  0.500  0.500  0.000
Ga  0.807  0.193  0.500
Pd  0.098  0.687  0.077
Pd  0.234  0.234  0.730
Pd  0.313  0.902  0.923
Pd  0.431  0.431  0.614
Pd  0.569  0.569  0.386
Pd  0.687  0.098  0.077
Pd  0.766  0.766  0.270
Pd  0.902  0.313  0.923